Version P
Here is a relaxed PmGa2Te crystal from Alexandria via LeMat-Bulk. Energies are from PBE-GGA.

Cell lengths 4.6167, 4.5594, 4.5594 Å; angles 90.00, 90.00, 90.00 degrees
Last column: nearest neighbours and their distance in Å.
Positions (direct):
Te  0.5000  0.0000  0.0000  4 Pm 3.22, 8 Ga 3.24
Ga  0.0000  0.0000  0.5000  4 Ga 3.22, 4 Te 3.24, 4 Pm 3.24
Ga  0.0000  0.5000  0.0000  4 Ga 3.22, 4 Te 3.24, 4 Pm 3.24
Pm  0.5000  0.5000  0.5000  4 Te 3.22, 8 Ga 3.24

## Properties
**M_tot**: 0.000 μB per formula unit


Version Q
Here is a relaxed PmGa2Te crystal from Alexandria via LeMat-Bulk. Energies are from PBE-GGA.

Cell lengths 3.8764, 3.8764, 6.4357 Å; angles 90.00, 90.00, 90.00 degrees
Last column: nearest neighbours and their distance in Å.
Positions (direct):
Te  0.5000  0.5000  0.5000  8 Ga 3.11, 2 Pm 3.22
Ga  0.0000  0.0000  0.7268  1 Ga 2.92, 4 Te 3.11, 4 Pm 3.26
Ga  0.0000  0.0000  0.2732  1 Ga 2.92, 4 Te 3.11, 4 Pm 3.26
Pm  0.5000  0.5000  0.0000  2 Te 3.22, 8 Ga 3.26

## Properties
**M_tot**: 0.000 μB per formula unit


The structure with the least stability is version Q.


Version P
Here is a relaxed Pm4GaTe crystal from Alexandria via LeMat-Bulk. Energies are from PBE-GGA.

Cell lengths 4.2094, 8.4669, 19.7666 Å; angles 90.00, 90.00, 90.00 degrees
Last column: nearest neighbours and their distance in Å.
Positions (direct):
Pm  0.7500  0.8475  0.6498  2 Ga 3.06, 2 Te 3.32-3.37, 1 Pm 3.32
Pm  0.2500  0.1525  0.3502  2 Ga 3.06, 2 Te 3.32-3.37, 1 Pm 3.32
Pm  0.2500  0.6525  0.1498  2 Ga 3.06, 2 Te 3.32-3.37, 1 Pm 3.32
Pm  0.7500  0.3475  0.8502  2 Ga 3.06, 2 Te 3.32-3.37, 1 Pm 3.32
Pm  0.7500  0.8613  0.4384  3 Ga 3.06-3.19, 2 Te 3.35
Pm  0.2500  0.1387  0.5616  3 Ga 3.06-3.19, 2 Te 3.35
Pm  0.2500  0.6387  0.9384  3 Ga 3.06-3.19, 2 Te 3.35
Pm  0.7500  0.3613  0.0616  3 Ga 3.06-3.19, 2 Te 3.35
Pm  0.7500  0.0030  0.9306  3 Ga 3.10-3.18, 1 Te 3.29, 3 Pm 3.32-3.46
Pm  0.2500  0.9970  0.0694  3 Ga 3.10-3.18, 1 Te 3.29, 3 Pm 3.32-3.46
Pm  0.2500  0.4970  0.4306  3 Ga 3.10-3.18, 1 Te 3.29, 3 Pm 3.32-3.46
Pm  0.7500  0.5030  0.5694  3 Ga 3.10-3.18, 1 Te 3.29, 3 Pm 3.32-3.46
Pm  0.7500  0.9802  0.2222  4 Te 3.28-3.31, 2 Pm 3.60
Pm  0.2500  0.0198  0.7778  4 Te 3.28-3.31, 2 Pm 3.60
Pm  0.2500  0.5198  0.7222  4 Te 3.28-3.31, 2 Pm 3.60
Pm  0.7500  0.4802  0.2778  4 Te 3.28-3.31, 2 Pm 3.60
Ga  0.7500  0.2351  0.4570  8 Pm 3.06-3.19
Ga  0.2500  0.7649  0.5430  8 Pm 3.06-3.19
Ga  0.2500  0.2649  0.9570  8 Pm 3.06-3.19
Ga  0.7500  0.7351  0.0430  8 Pm 3.06-3.19
Te  0.7500  0.7295  0.8125  9 Pm 3.28-3.37
Te  0.2500  0.2705  0.1875  9 Pm 3.28-3.37
Te  0.2500  0.7705  0.3125  9 Pm 3.28-3.37
Te  0.7500  0.2295  0.6875  9 Pm 3.28-3.37

## Properties
**M_tot**: 0.582 μB per formula unit


Version Q
Here is a relaxed Pm4GaTe crystal from Alexandria via LeMat-Bulk. Energies are from PBE-GGA.

Cell lengths 6.2214, 8.6937, 6.5170 Å; angles 90.00, 90.00, 88.30 degrees
Last column: nearest neighbours and their distance in Å.
Positions (direct):
Pm  0.6142  0.6465  0.7500  3 Ga 3.01-3.33, 1 Te 3.17
Pm  0.3858  0.3535  0.2500  3 Ga 3.01-3.33, 1 Te 3.17
Pm  0.3395  0.0573  0.7500  1 Ga 2.96, 2 Te 3.14-3.26
Pm  0.6605  0.9427  0.2500  1 Ga 2.96, 2 Te 3.14-3.26
Pm  0.1408  0.6905  0.0052  2 Ga 3.16-3.22, 3 Pm 3.19-3.39, 2 Te 3.35-3.48
Pm  0.8592  0.3095  0.5052  2 Ga 3.16-3.22, 3 Pm 3.19-3.39, 2 Te 3.35-3.48
Pm  0.1408  0.6905  0.4948  2 Ga 3.16-3.22, 3 Pm 3.19-3.39, 2 Te 3.35-3.48
Pm  0.8592  0.3095  0.9948  2 Ga 3.16-3.22, 3 Pm 3.19-3.39, 2 Te 3.35-3.48
Ga  0.2885  0.3969  0.7500  6 Pm 2.96-3.22
Ga  0.7115  0.6031  0.2500  6 Pm 2.96-3.22
Te  0.8331  0.9715  0.7500  9 Pm 3.14-3.48
Te  0.1669  0.0285  0.2500  9 Pm 3.14-3.48

## Properties
**M_tot**: 0.000 μB per formula unit


The structure with the least stability is version Q.


Version P
Here is a relaxed Pm4GaTe3 crystal from Alexandria via LeMat-Bulk. Energies are from PBE-GGA.

Cell lengths 7.6475, 7.7111, 8.9102 Å; angles 90.00, 90.00, 109.48 degrees
Last column: nearest neighbours and their distance in Å.
Positions (direct):
Te  0.7500  0.0000  0.3773  6 Pm 3.15-3.16
Te  0.2500  0.0000  0.6227  6 Pm 3.15-3.16
Te  0.7500  0.5000  0.6206  6 Pm 3.14-3.31
Te  0.7500  0.5000  0.1250  6 Pm 3.13-3.26
Te  0.2500  0.5000  0.3794  6 Pm 3.14-3.31
Te  0.2500  0.5000  0.8750  6 Pm 3.13-3.26
Ga  0.7500  0.0000  0.8764  6 Pm 2.96-3.03
Ga  0.2500  0.0000  0.1236  6 Pm 2.96-3.03
Pm  0.9852  0.2367  0.6421  1 Ga 2.96, 4 Te 3.13-3.15
Pm  0.5012  0.2324  0.8836  2 Ga 3.02-3.03, 4 Te 3.14-3.28
Pm  0.4852  0.2367  0.3579  1 Ga 2.96, 4 Te 3.13-3.15
Pm  0.0012  0.2324  0.1164  2 Ga 3.02-3.03, 4 Te 3.14-3.28
Pm  0.9988  0.7676  0.8836  2 Ga 3.02-3.03, 4 Te 3.14-3.28
Pm  0.5148  0.7633  0.6421  1 Ga 2.96, 4 Te 3.13-3.15
Pm  0.4988  0.7676  0.1164  2 Ga 3.02-3.03, 4 Te 3.14-3.28
Pm  0.0148  0.7633  0.3579  1 Ga 2.96, 4 Te 3.13-3.15

## Properties
**M_tot**: 0.000 μB per formula unit


Version Q
Here is a relaxed Pm4GaTe3 crystal from Alexandria via LeMat-Bulk. Energies are from PBE-GGA.

Cell lengths 6.2698, 6.2698, 12.5180 Å; angles 90.00, 90.00, 90.00 degrees
Last column: nearest neighbours and their distance in Å.
Positions (direct):
Pm  0.0645  0.7500  0.0000  4 Te 3.13, 2 Ga 3.13
Pm  0.5644  0.2500  0.0000  4 Te 3.13, 2 Ga 3.13-3.14
Pm  0.0644  0.2501  0.2402  1 Ga 3.01, 5 Te 3.14-3.25
Pm  0.5644  0.7499  0.2598  1 Ga 3.01, 5 Te 3.14-3.25
Pm  0.0644  0.7500  0.5000  4 Te 3.13, 2 Ga 3.13-3.14
Pm  0.5645  0.2500  0.5000  4 Te 3.13, 2 Ga 3.13
Pm  0.5644  0.7499  0.7402  1 Ga 3.01, 5 Te 3.14-3.25
Pm  0.0644  0.2501  0.7598  1 Ga 3.01, 5 Te 3.14-3.25
Ga  0.0642  0.2500  0.0000  6 Pm 3.01-3.14
Ga  0.5642  0.7500  0.5000  6 Pm 3.01-3.14
Te  0.5645  0.7500  0.0000  6 Pm 3.13-3.25
Te  0.0644  0.7501  0.2500  6 Pm 3.13-3.14
Te  0.5644  0.2499  0.2500  6 Pm 3.13-3.14
Te  0.0645  0.2500  0.5000  6 Pm 3.13-3.25
Te  0.5644  0.2499  0.7500  6 Pm 3.13-3.14
Te  0.0644  0.7501  0.7500  6 Pm 3.13-3.14

## Properties
**M_tot**: 0.000 μB per formula unit


The structure with the least stability is version Q.


Version P
Here is a relaxed Pm2ThGa6 crystal from Alexandria via LeMat-Bulk. Energies are from PBE-GGA.

Cell lengths 4.3270, 8.0271, 8.0271 Å; angles 53.55, 74.36, 74.36 degrees
Last column: nearest neighbours and their distance in Å.
Positions (direct):
Pm  0.3641  0.1359  0.1359  10 Ga 2.97-3.19
Pm  0.6359  0.8641  0.8641  10 Ga 2.97-3.19
Th  0.5000  0.5000  0.5000  12 Ga 3.18-3.43
Ga  0.1694  0.5133  0.1479  2 Ga 2.52-2.64
Ga  0.8306  0.4867  0.8521  2 Ga 2.52-2.64
Ga  0.8306  0.8521  0.4867  2 Ga 2.52-2.64
Ga  0.0000  0.1786  0.8214  3 Ga 2.52-2.58
Ga  0.0000  0.8214  0.1786  3 Ga 2.52-2.58
Ga  0.1694  0.1479  0.5133  2 Ga 2.52-2.64

## Properties
**M_tot**: 0.000 μB per formula unit


Version Q
Here is a relaxed Pm2ThGa6 crystal from Alexandria via LeMat-Bulk. Energies are from PBE-GGA.

Cell lengths 4.2513, 7.3902, 7.3902 Å; angles 120.00, 90.00, 90.00 degrees
Last column: nearest neighbours and their distance in Å.
Positions (direct):
Pm  0.0000  0.3333  0.6667  12 Ga 3.25
Pm  0.0000  0.6667  0.3333  12 Ga 3.25
Th  0.0000  0.0000  0.0000  12 Ga 3.25
Ga  0.5000  0.3335  0.3335  3 Ga 2.46
Ga  0.5000  0.6665  0.6665  3 Ga 2.46
Ga  0.5000  0.0000  0.6665  3 Ga 2.46
Ga  0.5000  0.6665  0.0000  3 Ga 2.46
Ga  0.5000  0.3335  0.0000  3 Ga 2.46
Ga  0.5000  0.0000  0.3335  3 Ga 2.46

## Properties
**M_tot**: 0.000 μB per formula unit


The structure with the least stability is version P.


Version P
Here is a relaxed Pm5Tl2Ga crystal from Alexandria via LeMat-Bulk. Energies are from PBE-GGA.

Cell lengths 8.1517, 8.1517, 9.2960 Å; angles 116.01, 116.01, 90.00 degrees
Last column: nearest neighbours and their distance in Å.
Positions (direct):
Pm  0.5132  0.6759  0.6892  3 Tl 3.24-3.34, 2 Ga 3.33, 1 Pm 3.34
Pm  0.8241  0.9868  0.3108  3 Tl 3.24-3.34, 2 Ga 3.33, 1 Pm 3.34
Pm  0.0000  0.0000  0.0000  4 Tl 3.20
Pm  0.5000  0.5000  0.0000  4 Tl 3.20
Pm  0.1759  0.0132  0.6892  3 Tl 3.24-3.34, 2 Ga 3.33, 1 Pm 3.34
Pm  0.6759  0.1759  0.6892  3 Tl 3.24-3.34, 2 Ga 3.33, 1 Pm 3.34
Pm  0.0132  0.5132  0.6892  3 Tl 3.24-3.34, 2 Ga 3.33, 1 Pm 3.34
Pm  0.3241  0.8241  0.3108  3 Tl 3.24-3.34, 2 Ga 3.33, 1 Pm 3.34
Pm  0.9868  0.4868  0.3108  3 Tl 3.24-3.34, 2 Ga 3.33, 1 Pm 3.34
Pm  0.4868  0.3241  0.3108  3 Tl 3.24-3.34, 2 Ga 3.33, 1 Pm 3.34
Tl  0.1300  0.3700  0.0000  1 Tl 3.00, 8 Pm 3.20-3.34
Tl  0.6300  0.1300  0.0000  1 Tl 3.00, 8 Pm 3.20-3.34
Tl  0.3700  0.8700  0.0000  1 Tl 3.00, 8 Pm 3.20-3.34
Tl  0.8700  0.6300  0.0000  1 Tl 3.00, 8 Pm 3.20-3.34
Ga  0.7500  0.7500  0.5000  10 Pm 3.33-3.65
Ga  0.2500  0.2500  0.5000  10 Pm 3.33-3.65

## Properties
**M_tot**: 0.000 μB per formula unit


Version Q
Here is a relaxed Pm5Tl2Ga crystal from Alexandria via LeMat-Bulk. Energies are from PBE-GGA.

Cell lengths 5.2001, 6.9067, 13.2084 Å; angles 90.00, 90.00, 90.00 degrees
Last column: nearest neighbours and their distance in Å.
Positions (direct):
Pm  0.0000  0.0000  0.5000  4 Tl 3.41, 2 Ga 3.45, 4 Pm 3.68
Pm  0.0000  0.5000  0.0000  4 Tl 3.41, 2 Ga 3.45, 4 Pm 3.68
Pm  0.0000  0.8681  0.2187  1 Ga 3.03, 2 Tl 3.23
Pm  0.0000  0.1319  0.7813  1 Ga 3.03, 2 Tl 3.23
Pm  0.0000  0.6319  0.7187  1 Ga 3.03, 2 Tl 3.23
Pm  0.0000  0.3681  0.2813  1 Ga 3.03, 2 Tl 3.23
Pm  0.5000  0.6657  0.4082  2 Ga 3.09, 2 Tl 3.24-3.37, 1 Pm 3.33
Pm  0.5000  0.3343  0.5918  2 Ga 3.09, 2 Tl 3.24-3.37, 1 Pm 3.33
Pm  0.5000  0.8343  0.9082  2 Ga 3.09, 2 Tl 3.24-3.37, 1 Pm 3.33
Pm  0.5000  0.1657  0.0918  2 Ga 3.09, 2 Tl 3.24-3.37, 1 Pm 3.33
Tl  0.5000  0.6186  0.1547  9 Pm 3.23-3.58
Tl  0.5000  0.3814  0.8453  9 Pm 3.23-3.58
Tl  0.5000  0.8814  0.6547  9 Pm 3.23-3.58
Tl  0.5000  0.1186  0.3453  9 Pm 3.23-3.58
Ga  0.0000  0.5000  0.5000  6 Pm 3.03-3.09
Ga  0.0000  0.0000  0.0000  6 Pm 3.03-3.09

## Properties
**M_tot**: 0.000 μB per formula unit


The structure with the least stability is version P.


Version P
Here is a relaxed Pm3Tl2Ga crystal from Alexandria via LeMat-Bulk. Energies are from PBE-GGA.

Cell lengths 6.4918, 6.6526, 8.6584 Å; angles 102.97, 112.02, 90.00 degrees
Last column: nearest neighbours and their distance in Å.
Positions (direct):
Pm  0.6403  0.2500  0.0000  2 Ga 3.22-3.28, 4 Tl 3.23-3.33, 2 Pm 3.44
Pm  0.3597  0.7500  0.0000  2 Ga 3.22-3.28, 4 Tl 3.23-3.33, 2 Pm 3.44
Pm  0.2739  0.0916  0.3278  2 Ga 3.07-3.43, 3 Tl 3.19-3.30
Pm  0.9460  0.4084  0.6722  2 Ga 3.07-3.43, 3 Tl 3.19-3.30
Pm  0.0540  0.5916  0.3278  2 Ga 3.07-3.43, 3 Tl 3.19-3.30
Pm  0.7261  0.9084  0.6722  2 Ga 3.07-3.43, 3 Tl 3.19-3.30
Tl  0.5474  0.5482  0.3273  7 Pm 3.19-3.52, 1 Ga 3.30, 1 Tl 3.46
Tl  0.7799  0.0482  0.3273  7 Pm 3.19-3.52, 1 Ga 3.30, 1 Tl 3.46
Tl  0.2201  0.9518  0.6727  7 Pm 3.19-3.52, 1 Ga 3.30, 1 Tl 3.46
Tl  0.4526  0.4518  0.6727  7 Pm 3.19-3.52, 1 Ga 3.30, 1 Tl 3.46
Ga  0.8643  0.7500  0.0000  6 Pm 3.07-3.43, 2 Tl 3.30
Ga  0.1357  0.2500  0.0000  6 Pm 3.07-3.43, 2 Tl 3.30

## Properties
**M_tot**: 0.000 μB per formula unit


Version Q
Here is a relaxed Pm3Tl2Ga crystal from Alexandria via LeMat-Bulk. Energies are from PBE-GGA.

Cell lengths 3.7659, 3.7659, 11.7407 Å; angles 90.00, 90.00, 90.00 degrees
Last column: nearest neighbours and their distance in Å.
Positions (direct):
Pm  0.0000  0.0000  0.0000  8 Tl 3.35
Pm  0.0000  0.0000  0.6523  4 Ga 3.21, 4 Tl 3.37, 1 Pm 3.58
Pm  0.0000  0.0000  0.3477  4 Ga 3.21, 4 Tl 3.37, 1 Pm 3.58
Tl  0.5000  0.5000  0.8275  8 Pm 3.35-3.37
Tl  0.5000  0.5000  0.1725  8 Pm 3.35-3.37
Ga  0.5000  0.5000  0.5000  8 Pm 3.21

## Properties
**M_tot**: 0.000 μB per formula unit


The structure with the least stability is version P.


Version P
Here is a relaxed Pm6Tl5Ga crystal from Alexandria via LeMat-Bulk. Energies are from PBE-GGA.

Cell lengths 5.4552, 7.6535, 8.6396 Å; angles 90.00, 71.40, 90.00 degrees
Last column: nearest neighbours and their distance in Å.
Positions (direct):
Tl  0.6688  0.5000  0.6626  8 Pm 3.35-3.40
Tl  0.3301  0.0000  0.3398  8 Pm 3.32-3.34
Tl  0.0000  0.5000  0.0000  8 Pm 3.29-3.37
Tl  0.6699  0.0000  0.6602  8 Pm 3.32-3.34
Tl  0.3312  0.5000  0.3374  8 Pm 3.35-3.40
Ga  0.0000  0.0000  0.0000  8 Pm 3.25-3.30
Pm  0.8382  0.7538  0.3237  1 Ga 3.25, 7 Tl 3.29-3.39
Pm  0.8382  0.2462  0.3237  1 Ga 3.25, 7 Tl 3.29-3.39
Pm  0.5000  0.2416  0.0000  2 Ga 3.30, 6 Tl 3.34-3.40
Pm  0.5000  0.7584  0.0000  2 Ga 3.30, 6 Tl 3.34-3.40
Pm  0.1618  0.7538  0.6763  1 Ga 3.25, 7 Tl 3.29-3.39
Pm  0.1618  0.2462  0.6763  1 Ga 3.25, 7 Tl 3.29-3.39

## Properties
**M_tot**: 0.000 μB per formula unit


Version Q
Here is a relaxed Pm6Tl5Ga crystal from Alexandria via LeMat-Bulk. Energies are from PBE-GGA.

Cell lengths 6.7488, 9.5969, 7.6004 Å; angles 50.85, 81.37, 76.24 degrees
Last column: nearest neighbours and their distance in Å.
Positions (direct):
Pm  0.7745  0.0687  0.3229  1 Ga 3.04, 5 Tl 3.23-3.39
Pm  0.2255  0.6085  0.3229  1 Ga 3.04, 5 Tl 3.23-3.39
Pm  0.2711  0.2194  0.0000  1 Ga 3.10, 5 Tl 3.28-3.41
Pm  0.7289  0.7806  0.0000  1 Ga 3.10, 5 Tl 3.28-3.41
Pm  0.7745  0.3915  0.6771  1 Ga 3.04, 5 Tl 3.23-3.39
Pm  0.2255  0.9313  0.6771  1 Ga 3.04, 5 Tl 3.23-3.39
Tl  0.5000  0.1988  0.6024  6 Pm 3.23-3.28, 1 Tl 3.55
Tl  0.0000  0.3564  0.2873  6 Pm 3.30-3.33, 1 Tl 3.39
Tl  0.5000  0.5000  0.0000  6 Pm 3.39-3.41, 6 Tl 3.55-3.78
Tl  0.0000  0.6436  0.7127  6 Pm 3.30-3.33, 1 Tl 3.39
Tl  0.5000  0.8012  0.3976  6 Pm 3.23-3.28, 1 Tl 3.55
Ga  0.0000  0.0000  0.0000  6 Pm 3.04-3.10

## Properties
**M_tot**: 0.000 μB per formula unit


The structure with the least stability is version Q.


Version P
Here is a relaxed PmTlGa2 crystal from Alexandria via LeMat-Bulk. Energies are from PBE-GGA.

Cell lengths 4.6328, 4.6328, 5.8698 Å; angles 66.76, 66.76, 60.00 degrees
Last column: nearest neighbours and their distance in Å.
Positions (direct):
Tl  0.0000  0.0000  0.0000  6 Ga 2.89
Ga  0.7362  0.7362  0.7915  3 Tl 2.89, 3 Pm 3.08
Ga  0.2638  0.2638  0.2085  3 Tl 2.89, 3 Pm 3.08
Pm  0.5000  0.5000  0.5000  6 Ga 3.08

## Properties
**M_tot**: 0.000 μB per formula unit


Version Q
Here is a relaxed PmTlGa2 crystal from Alexandria via LeMat-Bulk. Energies are from PBE-GGA.

Cell lengths 4.4090, 4.5890, 4.5890 Å; angles 90.00, 90.00, 90.00 degrees
Last column: nearest neighbours and their distance in Å.
Positions (direct):
Tl  0.5000  0.0000  0.0000  8 Ga 3.18, 4 Pm 3.24
Ga  0.0000  0.0000  0.5000  4 Pm 3.18, 4 Tl 3.18, 4 Ga 3.24
Ga  0.0000  0.5000  0.0000  4 Pm 3.18, 4 Tl 3.18, 4 Ga 3.24
Pm  0.5000  0.5000  0.5000  8 Ga 3.18, 4 Tl 3.24

## Properties
**M_tot**: 0.000 μB per formula unit


The structure with the least stability is version P.